Version one
Entry from the Alexandria database: crystalline Zr2AsAu2 at its relaxed geometry (PBE-GGA).

Properties
As for the crystal system: tetragonal.

abc: 7.199 7.199 3.981
angles: 90.00 90.00 90.00
Sites, in units of the cell vectors:
As1 0.000 0.000 0.000
As2 0.500 0.500 0.000
Au1 0.366 0.866 0.000
Au2 0.866 0.634 0.000
Au3 0.634 0.134 0.000
Au4 0.134 0.366 0.000
Zr1 0.166 0.666 0.500
Zr2 0.666 0.834 0.500
Zr3 0.834 0.334 0.500
Zr4 0.334 0.166 0.500

***

Version two
Entry from the Alexandria database: crystalline Zr2AsAu2 at its relaxed geometry (PBE-GGA).

Properties
As for the crystal system: tetragonal.

abc: 7.138 7.138 4.189
angles: 90.00 90.00 90.00
Sites, in units of the cell vectors:
As1 0.000 0.000 0.000
As2 0.500 0.500 0.000
Au1 0.138 0.638 0.500
Au2 0.638 0.862 0.500
Au3 0.862 0.362 0.500
Au4 0.362 0.138 0.500
Zr1 0.337 0.837 0.000
Zr2 0.837 0.663 0.000
Zr3 0.663 0.163 0.000
Zr4 0.163 0.337 0.000

***

Which of them is most stable? Easy: version two.

***

Version one
Entry from the Alexandria database: crystalline Zr4AsAu at its relaxed geometry (PBE-GGA).

Properties
As for the crystal system: cubic.

abc: 5.671 5.671 5.671
angles: 60.00 60.00 60.00
Sites, in units of the cell vectors:
Zr1 0.875 0.375 0.375
Zr2 0.375 0.375 0.875
Zr3 0.375 0.875 0.375
Zr4 0.375 0.375 0.375
As1 0.750 0.750 0.750
Au1 0.000 0.000 0.000

***

Version two
Entry from the Alexandria database: crystalline Zr4AsAu at its relaxed geometry (PBE-GGA).

Properties
As for the crystal system: tetragonal.

abc: 5.581 6.680 6.680
angles: 90.00 90.00 90.00
Sites, in units of the cell vectors:
Zr1 0.000 0.159 0.650
Zr2 0.000 0.841 0.350
Zr3 0.000 0.350 0.159
Zr4 0.000 0.650 0.841
Zr5 0.500 0.841 0.650
Zr6 0.500 0.159 0.350
Zr7 0.500 0.650 0.159
Zr8 0.500 0.350 0.841
As1 0.250 0.500 0.500
As2 0.750 0.500 0.500
Au1 0.250 0.000 0.000
Au2 0.750 0.000 0.000

***

Which of them is most stable? Easy: version two.

***

Version one
Entry from the Alexandria database: crystalline ZrAs2Au2 at its relaxed geometry (PBE-GGA).

Properties
As for the crystal system: tetragonal.

abc: 3.695 3.695 8.061
angles: 76.75 76.75 90.00
Sites, in units of the cell vectors:
As1 0.750 0.250 0.500
As2 0.250 0.750 0.500
Au1 0.403 0.403 0.193
Au2 0.597 0.597 0.807
Zr1 0.000 0.000 0.000

***

Version two
Entry from the Alexandria database: crystalline ZrAs2Au2 at its relaxed geometry (PBE-GGA).

Properties
As for the crystal system: tetragonal.

abc: 7.294 7.294 3.655
angles: 90.00 90.00 90.00
Sites, in units of the cell vectors:
As1 0.340 0.840 0.000
As2 0.840 0.660 0.000
As3 0.660 0.160 0.000
As4 0.160 0.340 0.000
Au1 0.146 0.646 0.500
Au2 0.646 0.854 0.500
Au3 0.854 0.354 0.500
Au4 0.354 0.146 0.500
Zr1 0.000 0.000 0.000
Zr2 0.500 0.500 0.000

***

Which of them is most stable? Easy: version two.

***

Version one
Entry from the Alexandria database: crystalline Ba2BAs at its relaxed geometry (PBE-GGA).

Properties
As for the crystal system: tetragonal.

abc: 6.508 6.508 9.476
angles: 69.92 69.92 90.00
Sites, in units of the cell vectors:
As1 0.000 0.000 0.000
As2 0.750 0.250 0.500
B1 0.500 0.500 0.000
B2 0.250 0.750 0.500
Ba1 0.608 0.125 0.250
Ba2 0.142 0.625 0.250
Ba3 0.375 0.392 0.750
Ba4 0.875 0.858 0.750

***

Version two
Entry from the Alexandria database: crystalline Ba2BAs at its relaxed geometry (PBE-GGA).

Properties
As for the crystal system: cubic.

abc: 5.562 5.562 5.562
angles: 60.00 60.00 60.00
Sites, in units of the cell vectors:
As1 0.500 0.500 0.500
B1 0.000 0.000 0.000
Ba1 0.250 0.250 0.250
Ba2 0.750 0.750 0.750

***

Which of them is most stable? Easy: version two.

***

Version one
Entry from the Alexandria database: crystalline BaBAs3 at its relaxed geometry (PBE-GGA).

Properties
As for the crystal system: cubic.

abc: 5.854 5.854 5.854
angles: 90.00 90.00 90.00
Sites, in units of the cell vectors:
As1 0.000 0.500 0.000
As2 0.000 0.000 0.500
As3 0.500 0.000 0.000
B1 0.500 0.500 0.500
Ba1 0.000 0.000 0.000

***

Version two
Entry from the Alexandria database: crystalline BaBAs3 at its relaxed geometry (PBE-GGA).

Properties
As for the crystal system: cubic.

abc: 4.755 4.755 4.755
angles: 90.00 90.00 90.00
Sites, in units of the cell vectors:
As1 0.000 0.500 0.000
As2 0.000 0.000 0.500
As3 0.500 0.000 0.000
B1 0.000 0.000 0.000
Ba1 0.500 0.500 0.500

***

Which of them is most stable? Easy: version two.

***

Version one
Entry from the Alexandria database: crystalline BaB3As at its relaxed geometry (PBE-GGA).

Properties
As for the crystal system: cubic.

abc: 4.963 4.963 4.963
angles: 90.00 90.00 90.00
Sites, in units of the cell vectors:
As1 0.500 0.500 0.500
B1 0.000 0.500 0.000
B2 0.000 0.000 0.500
B3 0.500 0.000 0.000
Ba1 0.000 0.000 0.000

***

Version two
Entry from the Alexandria database: crystalline BaB3As at its relaxed geometry (PBE-GGA).

Properties
As for the crystal system: cubic.

abc: 4.402 4.402 4.402
angles: 90.00 90.00 90.00
Sites, in units of the cell vectors:
As1 0.000 0.000 0.000
B1 0.000 0.500 0.000
B2 0.000 0.000 0.500
B3 0.500 0.000 0.000
Ba1 0.500 0.500 0.500

***

Which of them is most stable? Easy: version two.

***

Version one
Entry from the Alexandria database: crystalline BaBAs2Se at its relaxed geometry (PBE-GGA).

Properties
As for the crystal system: tetragonal.

abc: 6.180 6.180 6.049
angles: 90.00 90.00 90.00
Sites, in units of the cell vectors:
As1 0.000 0.500 0.000
As2 0.500 0.000 0.000
B1 0.500 0.500 0.500
Ba1 0.000 0.000 0.000
Se1 0.000 0.000 0.500

***

Version two
Entry from the Alexandria database: crystalline BaBAs2Se at its relaxed geometry (PBE-GGA).

Properties
As for the crystal system: tetragonal.

abc: 4.605 4.605 5.189
angles: 90.00 90.00 90.00
Sites, in units of the cell vectors:
As1 0.000 0.500 0.000
As2 0.500 0.000 0.000
B1 0.000 0.000 0.000
Ba1 0.500 0.500 0.500
Se1 0.000 0.000 0.500

***

Which of them is most stable? Easy: version two.

***

Version one
Entry from the Alexandria database: crystalline Be3BAs at its relaxed geometry (PBE-GGA).

Properties
As for the crystal system: cubic.

abc: 4.173 4.173 4.173
angles: 90.00 90.00 90.00
Sites, in units of the cell vectors:
Be1 0.000 0.500 0.000
Be2 0.000 0.000 0.500
Be3 0.500 0.000 0.000
As1 0.000 0.000 0.000
B1 0.500 0.500 0.500

***

Version two
Entry from the Alexandria database: crystalline Be3BAs at its relaxed geometry (PBE-GGA).

Properties
As for the crystal system: cubic.

abc: 3.781 3.781 3.781
angles: 90.00 90.00 90.00
Sites, in units of the cell vectors:
Be1 0.000 0.500 0.000
Be2 0.000 0.000 0.500
Be3 0.500 0.000 0.000
As1 0.500 0.500 0.500
B1 0.000 0.000 0.000

***

Which of them is most stable? Easy: version two.

***

Version one
Entry from the Alexandria database: crystalline BeBAs2Se at its relaxed geometry (PBE-GGA).

Properties
As for the crystal system: tetragonal.

abc: 4.452 4.452 4.581
angles: 90.00 90.00 90.00
Sites, in units of the cell vectors:
Be1 0.000 0.000 0.000
As1 0.000 0.500 0.000
As2 0.500 0.000 0.000
B1 0.500 0.500 0.500
Se1 0.000 0.000 0.500

***

Version two
Entry from the Alexandria database: crystalline BeBAs2Se at its relaxed geometry (PBE-GGA).

Properties
As for the crystal system: tetragonal.

abc: 4.372 4.372 4.430
angles: 90.00 90.00 90.00
Sites, in units of the cell vectors:
Be1 0.500 0.500 0.500
As1 0.000 0.500 0.000
As2 0.500 0.000 0.000
B1 0.000 0.000 0.000
Se1 0.000 0.000 0.500

***

Which of them is most stable? Easy: version two.

***

Version one
Entry from the Alexandria database: crystalline BiB3As at its relaxed geometry (PBE-GGA).

Properties
As for the crystal system: cubic.

abc: 4.668 4.668 4.668
angles: 90.00 90.00 90.00
Sites, in units of the cell vectors:
As1 0.500 0.500 0.500
B1 0.000 0.500 0.000
B2 0.000 0.000 0.500
B3 0.500 0.000 0.000
Bi1 0.000 0.000 0.000

***

Version two
Entry from the Alexandria database: crystalline BiB3As at its relaxed geometry (PBE-GGA).

Properties
As for the crystal system: cubic.

abc: 4.250 4.250 4.250
angles: 90.00 90.00 90.00
Sites, in units of the cell vectors:
As1 0.000 0.000 0.000
B1 0.000 0.500 0.000
B2 0.000 0.000 0.500
B3 0.500 0.000 0.000
Bi1 0.500 0.500 0.500

***

Which of them is most stable? Easy: version two.

***

Version one
Entry from the Alexandria database: crystalline Bi2BAs2 at its relaxed geometry (PBE-GGA).

Properties
As for the crystal system: tetragonal.

abc: 6.180 6.180 6.184
angles: 90.00 90.00 90.00
Sites, in units of the cell vectors:
As1 0.340 0.840 0.000
As2 0.840 0.660 0.000
As3 0.660 0.160 0.000
As4 0.160 0.340 0.000
B1 0.000 0.000 0.000
B2 0.500 0.500 0.000
Bi1 0.308 0.808 0.500
Bi2 0.808 0.692 0.500
Bi3 0.692 0.192 0.500
Bi4 0.192 0.308 0.500

***

Version two
Entry from the Alexandria database: crystalline Bi2BAs2 at its relaxed geometry (PBE-GGA).

Properties
As for the crystal system: tetragonal.

abc: 6.116 6.116 5.590
angles: 56.84 56.84 90.00
Sites, in units of the cell vectors:
As1 0.272 0.272 0.455
As2 0.728 0.728 0.545
B1 0.000 0.000 0.000
Bi1 0.750 0.250 0.500
Bi2 0.250 0.750 0.500

***

Which of them is most stable? Easy: version two.

***

Version one
Entry from the Alexandria database: crystalline BiBAs3 at its relaxed geometry (PBE-GGA).

Properties
As for the crystal system: cubic.

abc: 5.471 5.471 5.471
angles: 90.00 90.00 90.00
Sites, in units of the cell vectors:
As1 0.000 0.500 0.000
As2 0.000 0.000 0.500
As3 0.500 0.000 0.000
B1 0.500 0.500 0.500
Bi1 0.000 0.000 0.000

***

Version two
Entry from the Alexandria database: crystalline BiBAs3 at its relaxed geometry (PBE-GGA).

Properties
As for the crystal system: cubic.

abc: 4.578 4.578 4.578
angles: 90.00 90.00 90.00
Sites, in units of the cell vectors:
As1 0.000 0.500 0.000
As2 0.000 0.000 0.500
As3 0.500 0.000 0.000
B1 0.000 0.000 0.000
Bi1 0.500 0.500 0.500

***

Which of them is most stable? Easy: version two.

***

Version one
Entry from the Alexandria database: crystalline Bi2BAs at its relaxed geometry (PBE-GGA).

Properties
As for the crystal system: tetragonal.

abc: 6.376 6.376 7.156
angles: 63.55 63.55 90.00
Sites, in units of the cell vectors:
As1 0.000 0.000 0.000
As2 0.750 0.250 0.500
B1 0.500 0.500 0.000
B2 0.250 0.750 0.500
Bi1 0.562 0.125 0.250
Bi2 0.188 0.625 0.250
Bi3 0.375 0.438 0.750
Bi4 0.875 0.812 0.750

***

Version two
Entry from the Alexandria database: crystalline Bi2BAs at its relaxed geometry (PBE-GGA).

Properties
As for the crystal system: cubic.

abc: 5.017 5.017 5.017
angles: 60.00 60.00 60.00
Sites, in units of the cell vectors:
As1 0.500 0.500 0.500
B1 0.000 0.000 0.000
Bi1 0.250 0.250 0.250
Bi2 0.750 0.750 0.750

***

Which of them is most stable? Easy: version one.